# 1
This record from the Open Quantum Materials Database describes Rb3NbS4 after structural relaxation. The functional is GGA-PBE.

Calculated values
- theoretical density (Mg/m³) = 3.006
- total energy (eV per atom) = -4.9309

The structure in POSCAR format:
```
Rb3NbS4
1.0
-3.016 9.215 -0.968
-2.353 -1.738 -9.217
-10.294 -3.034 3.200
Nb Rb S
4 12 16
direct
0.486 0.219 0.250
0.014 0.719 0.250
0.986 0.281 0.750
0.514 0.781 0.750
0.210 0.449 0.044
0.290 0.949 0.044
0.917 0.143 0.250
0.583 0.643 0.250
0.210 0.449 0.456
0.290 0.949 0.456
0.710 0.051 0.544
0.790 0.551 0.544
0.417 0.357 0.750
0.083 0.857 0.750
0.710 0.051 0.956
0.790 0.551 0.956
0.552 0.334 0.081
0.948 0.834 0.081
0.579 0.001 0.250
0.251 0.201 0.250
0.921 0.501 0.250
0.249 0.701 0.250
0.552 0.334 0.419
0.948 0.834 0.419
0.052 0.166 0.581
0.448 0.666 0.581
0.751 0.299 0.750
0.079 0.499 0.750
0.749 0.799 0.750
0.421 0.999 0.750
0.052 0.166 0.919
0.448 0.666 0.919
```

# 2
This record from the Open Quantum Materials Database describes Sm4Ga16Co3 after structural relaxation. The functional is GGA-PBE.

Calculated values
- theoretical density (Mg/m³) = 7.620
- total energy (eV per atom) = -4.3708

The structure in POSCAR format:
```
Sm4Ga16Co3
1.0
-0.235 -5.104 -3.269
0.091 -3.274 5.106
-11.206 0.275 0.377
Co Ga Sm
3 16 4
direct
0.000 0.000 0.000
0.500 0.000 0.500
0.000 0.500 0.500
0.280 0.280 0.000
0.720 0.280 0.000
0.280 0.720 0.000
0.720 0.720 0.000
0.500 0.500 0.194
0.000 0.000 0.218
0.249 0.249 0.386
0.751 0.249 0.386
0.249 0.751 0.386
0.751 0.751 0.386
0.249 0.249 0.614
0.751 0.249 0.614
0.249 0.751 0.614
0.751 0.751 0.614
0.000 0.000 0.782
0.500 0.500 0.806
0.500 0.000 0.196
0.000 0.500 0.196
0.500 0.000 0.804
0.000 0.500 0.804
```

# 3
This record from the Open Quantum Materials Database describes NaGd2 after structural relaxation. The functional is GGA-PBE.

Calculated values
- theoretical density (Mg/m³) = 5.251
- ΔE to the lowest computed polymorph (meV per atom) = 0
- total energy (eV per atom) = -3.0945

The structure in POSCAR format:
```
NaGd2
1.0
0.000 4.743 4.743
4.743 0.000 4.743
4.743 4.743 0.000
Gd Na
4 2
direct
0.625 0.625 0.125
0.625 0.125 0.625
0.125 0.625 0.625
0.625 0.625 0.625
0.000 0.000 0.000
0.250 0.250 0.250
```

# 4
This record from the Open Quantum Materials Database describes Mg2AgGe after structural relaxation. The functional is GGA-PBE.

Calculated values
- theoretical density (Mg/m³) = 4.837
- total energy (eV per atom) = -2.6288

The structure in POSCAR format:
```
Mg2AgGe
1.0
0.000 3.401 3.401
3.401 0.000 3.401
3.401 3.401 0.000
Ag Ge Mg
1 1 2
direct
0.250 0.250 0.250
0.500 0.500 0.500
0.000 0.000 0.000
0.750 0.750 0.750
```

# 5
This record from the Open Quantum Materials Database describes GeSbAu after structural relaxation. The functional is GGA-PBE.

Calculated values
- theoretical density (Mg/m³) = 9.834
- ΔE to the lowest computed polymorph (meV per atom) = 12
- total energy (eV per atom) = -3.9169

The structure in POSCAR format:
```
GeSbAu
1.0
8.187 0.000 0.000
0.000 3.867 0.000
0.000 0.000 8.350
Au Ge Sb
4 4 4
direct
0.315 0.750 0.163
0.815 0.750 0.337
0.185 0.250 0.663
0.685 0.250 0.837
0.879 0.750 0.021
0.379 0.750 0.479
0.621 0.250 0.521
0.121 0.250 0.979
0.584 0.250 0.165
0.084 0.250 0.335
0.916 0.750 0.665
0.416 0.750 0.835
```

# 6
This record from the Open Quantum Materials Database describes LiInCu2 after structural relaxation. The functional is GGA-PBE.

Calculated values
- theoretical density (Mg/m³) = 7.252
- total energy (eV per atom) = -3.1191

The structure in POSCAR format:
```
LiInCu2
1.0
-3.458 2.287 1.211
-2.163 2.348 -2.909
-3.947 -1.223 -1.258
Cu In Li
2 1 1
direct
0.000 0.000 0.000
0.750 0.750 0.750
0.500 0.500 0.500
0.250 0.250 0.250
```

# 7
This record from the Open Quantum Materials Database describes ZrGaMo after structural relaxation. The functional is GGA-PBE.

Calculated values
- theoretical density (Mg/m³) = 6.491
- ΔE to the lowest computed polymorph (meV per atom) = 356
- total energy (eV per atom) = -6.5818

The structure in POSCAR format:
```
ZrGaMo
1.0
-1.519 -3.750 2.038
-4.437 -0.910 0.053
-1.641 -3.419 -2.478
Ga Mo Zr
1 1 1
direct
0.250 0.250 0.250
0.750 0.750 0.750
0.000 0.000 0.000
```

# 8
This record from the Open Quantum Materials Database describes TcBSb2 after structural relaxation. The functional is GGA-PBE.

Calculated values
- theoretical density (Mg/m³) = 8.194
- total energy (eV per atom) = -5.0765

The structure in POSCAR format:
```
TcBSb2
1.0
0.000 3.293 3.293
3.293 0.000 3.293
3.293 3.293 0.000
B Sb Tc
1 2 1
direct
0.000 0.000 0.000
0.500 0.500 0.500
0.750 0.750 0.750
0.250 0.250 0.250
```